5
Lattice="-2.2226 2.2226 6.2405 2.2226 -2.2226 6.2405 2.2226 2.2226 -6.2405" Properties=species:S:1:pos:R:3 comment="PBE Te2AsS2, relaxed" vol_a3_per_cell=123.3 total_magnetization_mub_per_fu=0.0 relative_energy_mev_per_atom=372 raw_formation_energy_ev_per_atom=0.721 pbc="T T T"
Te 0.0000 0.0000 1.5745
Te 0.0000 0.0000 10.9065
As 0.0000 0.0000 6.2405
S 2.2226 0.0000 3.1202
S 0.0000 2.2226 3.1202